{
  "formula": "Gd2LuSn7",
  "functional": "PBE",
  "state": "relaxed",
  "sg": "Cmmm (65)",
  "dft_energy_ev_per_atom": -4.692,
  "density_g_cm3": 8.4,
  "lattice": [[5.7954, 6.3487, -9.8215], [-6.7204, -9.1404, 6.4532], [-3.8450, 2.2537, -0.8120]],
  "species": ["Gd", "Gd", "Lu", "Sn", "Sn", "Sn", "Sn", "Sn", "Sn", "Sn"],
  "fractional_positions": [[0.8129, 0.1871, 0.0000], [0.1871, 0.8129, 0.0000], [0.0000, 0.0000, 0.0000], [0.5949, 0.4051, 0.0000], [0.4051, 0.5949, 0.0000], [0.9042, 0.0958, 0.5000], [0.7097, 0.2902, 0.5000], [0.5000, 0.5000, 0.5000], [0.2902, 0.7097, 0.5000], [0.0958, 0.9042, 0.5000]]
}